(1)
Entry from Alexandria via LeMat-Bulk: crystalline LiNdGe2Ir at its relaxed geometry (PBE).

Properties
SG = No. 119
DOS(E_F) = 0.69 states/eV/atom
Total moment = 0.00 μB per cell
DFT formation energy = -0.675 eV per atom
Total energy = -5.63 eV per atom
Calculated volume = 18.57 Å³/atom

Unit cell a=6.048 b=6.048 c=6.048 alpha=139.38 beta=139.38 gamma=58.79
Atoms (fractional coordinates):
Li: 0.000 0.000 0.000
Nd: 0.750 0.250 0.500
Ge: 0.127 0.627 0.500
Ge: 0.373 0.873 0.500
Ir: 0.500 0.500 0.000


(2)
Entry from Alexandria via LeMat-Bulk: crystalline InAgW2 at its relaxed geometry (PBE).

Properties
SG = No. 6
DOS(E_F) = 0.41 states/eV/atom
Total moment = 0.00 μB per cell
DFT formation energy = 0.512 eV per atom
Total energy = -7.36 eV per atom
Calculated volume = 17.80 Å³/atom

Unit cell a=2.834 b=4.447 c=5.751 alpha=90.00 beta=100.80 gamma=90.00
Atoms (fractional coordinates):
In: 0.000 0.000 0.000
Ag: 0.068 0.500 0.744
W: 0.441 0.000 0.488
W: 0.637 0.500 0.267